Density functional theory data (PBE) for a relaxed MnC3Br crystal.

Calculated density, g/cm³: 4.794
Formation energy from raw total energies, eV/atom: 2.022
Size of the total moment, μB per cell: 0.0
SG: Pm-3m, No. 221
Excess energy over the best structure of this formula in the dataset, meV per atom: 0

a = 3.897 Å, b = 3.897 Å, c = 3.897 Å
α = 90.00°, β = 90.00°, γ = 90.00°
Element x y z (fractional)
Mn 0.000 0.000 0.000
C 0.000 0.000 0.500
C 0.000 0.500 0.000
C 0.500 0.000 0.000
Br 0.500 0.500 0.500